[1]
Below is a relaxed TcRuSe2 crystal, with properties calculated at the PBEsol level.

## Properties
- Formation energy from raw total energies: -0.107 eV per atom
- Space-group type: P4mm

a = 2.931 Å, b = 2.931 Å, c = 7.834 Å
α = 90.00°, β = 90.00°, γ = 90.00°
Atoms (fractional coordinates):
Ru 0.500 0.500 0.750
Tc 0.000 0.000 0.500
Se 0.000 0.000 0.929
Se 0.500 0.500 0.321


[2]
Below is a relaxed ScP2S2 crystal, with properties calculated at the PBEsol level.

## Properties
- Formation energy from raw total energies: 0.616 eV per atom
- Space-group type: P4/mmm

a = 4.591 Å, b = 4.954 Å, c = 4.954 Å
α = 90.00°, β = 90.00°, γ = 90.00°
Atoms (fractional coordinates):
P 0.000 0.500 0.000
S 0.500 0.000 0.000
Sc 0.000 0.000 0.000
S 0.500 0.500 0.500
P 0.000 0.000 0.500


[3]
Below is a relaxed Cu2TcPtF crystal, with properties calculated at the PBEsol level.

## Properties
- Formation energy from raw total energies: 1.392 eV per atom
- Space-group type: P4/mmm

a = 4.587 Å, b = 4.607 Å, c = 4.607 Å
α = 90.00°, β = 90.00°, γ = 90.00°
Atoms (fractional coordinates):
F 0.500 0.500 0.500
Pt 0.500 0.000 0.000
Tc 0.000 0.000 0.000
Cu 0.000 0.000 0.500
Cu 0.000 0.500 0.000


[4]
Below is a relaxed KBe2Ru crystal, with properties calculated at the PBEsol level.

## Properties
- Space-group type: I4_1/amd
- Energy of formation: 0.94 eV per atom

a = 5.018 Å, b = 5.018 Å, c = 7.753 Å
α = 108.88°, β = 108.88°, γ = 90.00°
Atoms (fractional coordinates):
Ru 0.000 0.000 0.000
K 0.500 0.500 0.000
Be 0.625 0.875 0.750
K 0.750 0.250 0.500
Be 0.125 0.375 0.250
Ru 0.250 0.750 0.500
Be 0.125 0.875 0.750
Be 0.125 0.875 0.250